The following is a PBE-GGA calculation of Rb12H5Au3 after structural relaxation, from the Alexandria database.

Summary:
**Uncorrected energy**: -1.99 eV per atom

Lattice parameters (Å, degrees): 16.2201 16.2201 16.2201 109.47 109.47 109.47
Sites, in units of the cell vectors:
Rb  0.1790  0.0978  0.9746
Rb  0.5978  0.6232  0.4187
Rb  0.5813  0.7045  0.6790
Rb  0.6790  0.4746  0.5978
Rb  0.0813  0.9022  0.3768
Rb  0.3210  0.7955  0.4187
Rb  0.6232  0.0254  0.2045
Rb  0.8210  0.9022  0.0254
Rb  0.9746  0.5978  0.1790
Rb  0.8768  0.5813  0.9022
Rb  0.7045  0.1232  0.0254
Rb  0.9187  0.8210  0.7955
Rb  0.0254  0.4022  0.8210
Rb  0.3768  0.9746  0.7955
Rb  0.2045  0.6790  0.0813
Rb  0.2045  0.5254  0.6232
Rb  0.1790  0.0813  0.7045
Rb  0.3210  0.5254  0.4022
Rb  0.0978  0.1790  0.4746
Rb  0.8768  0.2955  0.4746
Rb  0.5978  0.9746  0.6790
Rb  0.4187  0.1232  0.5978
Rb  0.3768  0.4022  0.0813
Rb  0.5813  0.8768  0.4022
Rb  0.0813  0.1790  0.2045
Rb  0.7045  0.5813  0.1790
Rb  0.8210  0.9187  0.2955
Rb  0.9022  0.0813  0.8768
Rb  0.4746  0.7955  0.8768
Rb  0.4187  0.2955  0.3210
Rb  0.9187  0.0978  0.6232
Rb  0.9022  0.8210  0.5254
Rb  0.0978  0.9187  0.1232
Rb  0.1232  0.4187  0.0978
Rb  0.7955  0.4746  0.3768
Rb  0.2955  0.4187  0.8210
Rb  0.2955  0.8768  0.9746
Rb  0.5254  0.2045  0.1232
Rb  0.5254  0.3210  0.9022
Rb  0.1232  0.7045  0.5254
Rb  0.9746  0.3768  0.2955
Rb  0.0254  0.6232  0.7045
Rb  0.4746  0.6790  0.0978
Rb  0.4022  0.3768  0.5813
Rb  0.6790  0.2045  0.5813
Rb  0.4022  0.0254  0.3210
Rb  0.6232  0.5978  0.9187
Rb  0.7955  0.3210  0.9187
Au  0.7500  0.8750  0.6250
Au  0.1250  0.8750  0.7500
Au  0.2500  0.1250  0.3750
Au  0.3750  0.6250  0.2500
Au  0.2500  0.6250  0.8750
Au  0.1250  0.2500  0.8750
Au  0.3750  0.7500  0.6250
Au  0.8750  0.1250  0.2500
Au  0.6250  0.3750  0.7500
Au  0.7500  0.3750  0.1250
Au  0.8750  0.7500  0.1250
Au  0.6250  0.2500  0.3750
H  0.1250  0.3750  0.2500
H  0.7500  0.1250  0.8750
H  0.3750  0.2500  0.1250
H  0.0000  0.5000  0.0000
H  0.0000  0.5000  0.5000
H  0.6250  0.8750  0.2500
H  0.5000  0.5000  0.0000
H  0.8750  0.6250  0.7500
H  0.8750  0.2500  0.6250
H  0.0000  0.0000  0.5000
H  0.7500  0.6250  0.3750
H  0.1250  0.7500  0.3750
H  0.0000  0.0000  0.0000
H  0.5000  0.0000  0.0000
H  0.6250  0.7500  0.8750
H  0.3750  0.1250  0.7500
H  0.5000  0.0000  0.5000
H  0.2500  0.8750  0.1250
H  0.2500  0.3750  0.6250
H  0.5000  0.5000  0.5000


The following is a PBE-GGA calculation of Rb2HfSb2 after structural relaxation, from the Alexandria database.

Summary:
**Uncorrected energy**: -4.25 eV per atom
**Formation energy from raw total energies**: -0.22 eV per atom

Lattice parameters (Å, degrees): 4.7751 4.7751 19.1206 97.17 97.17 90.00
Sites, in units of the cell vectors:
Sb  0.9595  0.4595  0.9190
Sb  0.7095  0.7095  0.4190
Sb  0.2905  0.2905  0.5810
Sb  0.5405  0.0405  0.0810
Hf  0.7500  0.2500  0.5000
Hf  0.5000  0.5000  0.0000
Rb  0.4202  0.9202  0.8403
Rb  0.8298  0.8298  0.6597
Rb  0.0798  0.5798  0.1597
Rb  0.1702  0.1702  0.3403


The following is a PBE-GGA calculation of YOsSe2N after structural relaxation, from the Alexandria database.

Summary:
**Uncorrected energy**: -6.99 eV per atom
**Energy relative to the lowest polymorph listed for this composition**: 0.0 kJ/mol of atoms
**Formation energy from raw total energies**: -0.39 eV per atom

Lattice parameters (Å, degrees): 5.1351 5.1351 3.7286 90.00 90.00 90.00
Sites, in units of the cell vectors:
Se  0.5000  0.0000  0.0000
Se  0.0000  0.5000  0.0000
Os  0.0000  0.0000  0.0000
Y  0.5000  0.5000  0.5000
N  0.0000  0.0000  0.5000


The following is a PBE-GGA calculation of Tb5Sm2Er3 after structural relaxation, from the Alexandria database.

Summary:
**Formation energy**: 0.198 eV/atom
**Uncorrected energy**: -4.43 eV per atom
**Energy relative to the lowest polymorph listed for this composition**: 0.0 kJ/mol of atoms

Lattice parameters (Å, degrees): 9.4209 9.4778 11.1070 125.52 125.41 68.65
Sites, in units of the cell vectors:
Er  0.0087  0.7776  0.2389
Er  0.7743  0.0243  0.0486
Er  0.7302  0.4613  0.2389
Er  0.2698  0.5387  0.7611
Er  0.9913  0.2224  0.7611
Er  0.2257  0.9757  0.9514
Tb  0.2801  0.5301  0.0602
Tb  0.6014  0.8469  0.2326
Tb  0.1312  0.3857  0.2326
Tb  0.0180  0.7680  0.5360
Tb  0.3986  0.1531  0.7674
Tb  0.5228  0.2728  0.5456
Tb  0.4772  0.7272  0.4544
Tb  0.8688  0.6143  0.7674
Tb  0.7199  0.4699  0.9398
Tb  0.9820  0.2320  0.4640
Sm  0.7810  0.0154  0.7496
Sm  0.4686  0.7342  0.7496
Sm  0.5314  0.2658  0.2504
Sm  0.2190  0.9846  0.2504